A plane-wave DFT calculation with PBE was carried out for an optimized crystal structure of LaTb6Sm.

Properties
ΔE to the lowest computed polymorph, eV/f.u.: 2.72
ΔE_f, meV/atom: 363
Calculated volume, A^3/atom: 36.099
Uncorrected energy, eV for the cell shown: -69.1

Geometry as CIF:
```
data_LaTb6Sm
_chemical_formula_sum 'La2 Tb12 Sm2'
_cell_length_a 10.304
_cell_length_b 6.789
_cell_length_c 8.549
_cell_angle_alpha 90.00
_cell_angle_beta 105.02
_cell_angle_gamma 90.00
_symmetry_space_group_name_H-M 'C 1 2/m 1'
_symmetry_Int_Tables_number 12
_symmetry_space_group_name_Hall '-C 2y'
loop_
_atom_site_label
_atom_site_fract_x
_atom_site_fract_y
_atom_site_fract_z
La1 0.000 0.000 0.000
Tb1 0.124 0.500 0.423
Tb2 0.199 0.260 0.799
Sm1 0.000 0.000 0.500
```